a.
4
Lattice="3.237 0.000 0.000 0.000 3.237 0.000 0.000 0.000 6.280" Properties=species:S:1:pos:R:3 comment="AlTeMo2 GGA-PBEsol relaxed" crystal_system=tetragonal pbc="T T T"
Al 0.000 0.000 0.000
Te 0.000 0.000 3.140
Mo 1.618 1.618 1.440
Mo 1.618 1.618 4.840

---

b.
4
Lattice="4.465 -1.635 0.000 4.465 1.635 0.000 -0.742 0.000 4.788" Properties=species:S:1:pos:R:3 comment="AlTeMo2 GGA-PBEsol relaxed" crystal_system=monoclinic pbc="T T T"
Al 0.000 0.000 0.000
Te 4.093 0.000 2.394
Mo 1.645 0.000 3.812
Mo 6.542 0.000 0.976

---

c.
4
Lattice="1.579 0.912 8.336 -1.579 0.912 8.336 0.000 -1.824 8.336" Properties=species:S:1:pos:R:3 comment="AlTeMo2 GGA-PBEsol relaxed" crystal_system=trigonal pbc="T T T"
Al 0.000 0.000 0.000
Te 0.000 0.000 19.075
Mo 0.000 0.000 6.361
Mo 0.000 0.000 12.860

---

d.
4
Lattice="-2.011 2.011 4.088 2.011 -2.011 4.088 2.011 2.011 -4.088" Properties=species:S:1:pos:R:3 comment="AlTeMo2 GGA-PBEsol relaxed" crystal_system=tetragonal pbc="T T T"
Al 0.000 0.000 0.000
Te 2.011 0.000 2.044
Mo 0.000 0.000 4.088
Mo 0.000 2.011 2.044

---

Short version: a, c, b, d, most stable first.